Ac5Pm3As8: optimized geometry, PBE.

Results
DFT formation energy: -1.4733 eV/atom

Cell and atoms, written as CIF:
```
data_Ac5Pm3As8
_chemical_formula_sum 'Ac15 Pm9 As24'
_cell_length_a 8.8745
_cell_length_b 8.8745
_cell_length_c 21.7475
_cell_angle_alpha 90.00
_cell_angle_beta 90.00
_cell_angle_gamma 120.00
_space_group_name_H-M_alt 'R -3 m'
_space_group_IT_number 166
_space_group_name_Hall '-R 3 2"'
loop_
_atom_site_label
_atom_site_type_symbol
_atom_site_fract_x
_atom_site_fract_y
_atom_site_fract_z
Ac1 Ac 0.0000 0.0000 0.0000
Ac2 Ac 0.0000 0.0000 0.5000
Ac3 Ac 0.0000 0.5000 0.0000
Pm1 Pm 0.0000 0.5000 0.5000
As1 As 0.0000 0.0000 0.2449
As2 As 0.0072 0.5036 0.7536
```



AcPmAs2: optimized geometry, PBE.

Results
DFT formation energy: -1.4505 eV/atom

Cell and atoms, written as CIF:
```
data_AcPmAs2
_chemical_formula_sum 'Ac2 Pm2 As4'
_cell_length_a 4.3541
_cell_length_b 4.3541
_cell_length_c 14.5389
_cell_angle_alpha 90.00
_cell_angle_beta 90.00
_cell_angle_gamma 120.00
_space_group_name_H-M_alt 'P 63/m m c'
_space_group_IT_number 194
_space_group_name_Hall '-P 6c 2c'
loop_
_atom_site_label
_atom_site_type_symbol
_atom_site_fract_x
_atom_site_fract_y
_atom_site_fract_z
Ac1 Ac 0.3333 0.6667 0.2500
Pm1 Pm 0.0000 0.0000 0.0000
As1 As 0.3333 0.6667 0.6157
```